! Zr5Zn meta-GGA SCAN PBEsol geometry; values from VASP
! formation energy from the elements: -0.049 eV/atom
! VASP energy: -167.30 eV/cell
! volume: 125 Å³/cell
! ΔE to the lowest computed polymorph: 8.4 kJ/mol of formula units
&SYSTEM
  ibrav = 0, nat = 6, ntyp = 2
/
ATOMIC_SPECIES
Zn 65.41 Zn.upf
Zr 91.22 Zr.upf
CELL_PARAMETERS angstrom
-1.908 2.437 -0.240
-0.582 -1.893 5.477
5.827 4.583 0.207
ATOMIC_POSITIONS crystal
Zn 0.994 0.988 0.998
Zr 0.676 0.353 0.331
Zr 0.343 0.685 0.695
Zr 0.056 0.111 0.605
Zr 0.395 0.790 0.260
Zr 0.703 0.406 0.945

=====

! MgTaSi meta-GGA SCAN PBEsol geometry; values from VASP
! VASP energy: -81.19 eV/cell
! raw formation energy: 12.3 kJ/mol of atoms
! volume: 50 Å³/cell
&SYSTEM
  ibrav = 0, nat = 3, ntyp = 3
/
ATOMIC_SPECIES
Ta 180.95 Ta.upf
Mg 24.30 Mg.upf
Si 28.09 Si.upf
CELL_PARAMETERS angstrom
2.914 0.000 0.000
0.000 3.534 0.000
-1.457 -1.767 4.880
ATOMIC_POSITIONS crystal
Ta 0.316 0.316 0.631
Mg 0.007 0.007 0.015
Si 0.677 0.677 0.354

=====

! SbOs2W meta-GGA SCAN PBEsol geometry; values from VASP
! VASP energy: -248.35 eV/cell
! raw formation energy: 56.8 kJ/mol of atoms
! volume: 63 Å³/cell
&SYSTEM
  ibrav = 0, nat = 4, ntyp = 3
/
ATOMIC_SPECIES
Os 190.23 Os.upf
Sb 121.76 Sb.upf
W 183.84 W.upf
CELL_PARAMETERS angstrom
3.899 0.000 0.000
0.000 3.899 0.000
-1.949 -1.949 4.118
ATOMIC_POSITIONS crystal
Os 0.000 0.000 0.000
Os 0.750 0.250 0.500
Sb 0.500 0.500 0.000
W 0.250 0.750 0.500

=====

! BaY2P meta-GGA SCAN PBEsol geometry; values from VASP
! formation energy from the elements: -0.643 eV/atom
! VASP energy: -108.20 eV/cell
! volume: 121 Å³/cell
&SYSTEM
  ibrav = 0, nat = 4, ntyp = 3
/
ATOMIC_SPECIES
Y 88.91 Y.upf
P 30.97 P.upf
Ba 137.33 Ba.upf
CELL_PARAMETERS angstrom
-1.263 -1.211 3.406
3.452 -1.476 0.755
2.319 7.170 3.409
ATOMIC_POSITIONS crystal
Y 0.500 0.500 0.184
P 0.500 0.500 0.840
Y 0.000 0.000 0.931
Ba 0.000 0.000 0.545

=====

! BaLaHg2 meta-GGA SCAN PBEsol geometry; values from VASP
! formation energy from the elements: -0.279 eV/atom
! VASP energy: -220.10 eV/cell
! volume: 111 Å³/cell
&SYSTEM
  ibrav = 0, nat = 4, ntyp = 3
/
ATOMIC_SPECIES
Hg 200.59 Hg.upf
Ba 137.33 Ba.upf
La 138.91 La.upf
CELL_PARAMETERS angstrom
5.392 0.000 0.000
2.696 4.669 0.000
2.696 1.556 4.402
ATOMIC_POSITIONS crystal
Hg 0.250 0.250 0.250
Ba 0.500 0.500 0.500
La 0.750 0.750 0.750
Hg 0.000 0.000 0.000

=====

! TlP2Br meta-GGA SCAN PBEsol geometry; values from VASP
! VASP energy: -109.73 eV/cell
! raw formation energy: 69.6 kJ/mol of atoms
! volume: 92 Å³/cell
! ΔE to the lowest computed polymorph: 307.1 kJ/mol of formula units
&SYSTEM
  ibrav = 0, nat = 4, ntyp = 3
/
ATOMIC_SPECIES
Br 79.90 Br.upf
P 30.97 P.upf
Tl 204.38 Tl.upf
CELL_PARAMETERS angstrom
2.672 0.000 0.000
0.000 5.452 0.000
0.000 -2.726 6.301
ATOMIC_POSITIONS crystal
Br 0.500 0.500 0.000
P 0.000 0.500 0.500
P 0.000 0.000 0.500
Tl 0.500 0.000 0.000

=====

! Ce2ZrS5 meta-GGA SCAN PBEsol geometry; values from VASP
! VASP energy: -740.71 eV/cell
! raw formation energy: -207.6 kJ/mol of atoms
! volume: 637 Å³/cell
&SYSTEM
  ibrav = 0, nat = 32, ntyp = 3
/
ATOMIC_SPECIES
Zr 91.22 Zr.upf
S 32.06 S.upf
Ce 140.12 Ce.upf
CELL_PARAMETERS angstrom
-4.825 -2.879 -4.452
3.246 -7.249 1.170
-6.857 -1.695 8.527
ATOMIC_POSITIONS crystal
Zr 0.925 0.250 0.490
S 0.552 0.250 0.497
S 0.183 0.462 0.574
S 0.317 0.038 0.074
S 0.338 0.750 0.786
Zr 0.075 0.750 0.510
S 0.817 0.538 0.426
Ce 0.938 0.999 0.172
S 0.317 0.462 0.074
Ce 0.062 0.001 0.828
S 0.856 0.750 0.697
S 0.683 0.962 0.926
Ce 0.438 0.001 0.328
S 0.448 0.750 0.503
Ce 0.438 0.499 0.328
S 0.948 0.250 0.997
Ce 0.938 0.501 0.172
S 0.817 0.962 0.426
Zr 0.425 0.750 0.010
S 0.838 0.250 0.714
S 0.052 0.750 0.003
S 0.356 0.250 0.803
Ce 0.062 0.499 0.828
S 0.183 0.038 0.574
Ce 0.562 0.501 0.672
S 0.162 0.750 0.286
S 0.662 0.250 0.214
S 0.144 0.250 0.303
S 0.683 0.538 0.926
Zr 0.575 0.250 0.990
Ce 0.562 0.999 0.672
S 0.644 0.750 0.197

=====

! AuBr5 meta-GGA SCAN PBEsol geometry; values from VASP
! VASP energy: -165.90 eV/cell
! raw formation energy: 9.0 kJ/mol of atoms
! volume: 173 Å³/cell
! ΔE to the lowest computed polymorph: 0.0 kJ/mol of formula units
&SYSTEM
  ibrav = 0, nat = 6, ntyp = 2
/
ATOMIC_SPECIES
Br 79.90 Br.upf
Au 196.97 Au.upf
CELL_PARAMETERS angstrom
3.834 0.000 0.000
-1.917 6.134 0.000
0.000 0.000 7.367
ATOMIC_POSITIONS crystal
Br 0.389 0.778 0.000
Br 0.529 0.059 0.500
Br 0.196 0.392 0.500
Br 0.862 0.725 0.500
Au 0.026 0.052 0.000
Br 0.663 0.327 0.000

=====

! Hf3TeP meta-GGA SCAN PBEsol geometry; values from VASP
! VASP energy: -236.16 eV/cell
! raw formation energy: -9.4 kJ/mol of atoms
! volume: 110 Å³/cell
&SYSTEM
  ibrav = 0, nat = 5, ntyp = 3
/
ATOMIC_SPECIES
P 30.97 P.upf
Hf 178.49 Hf.upf
Te 127.60 Te.upf
CELL_PARAMETERS angstrom
-1.020 -0.333 -4.676
-0.241 -4.775 0.393
-4.681 0.319 0.999
ATOMIC_POSITIONS crystal
P 0.000 0.000 0.000
Hf 0.000 0.500 0.000
Hf 0.500 0.000 0.000
Te 0.500 0.500 0.500
Hf 0.000 0.000 0.500

=====

! ReHg2Te meta-GGA SCAN PBEsol geometry; values from VASP
! VASP energy: -241.08 eV/cell
! raw formation energy: 86.8 kJ/mol of atoms
! volume: 82 Å³/cell
! ΔE to the lowest computed polymorph: 0.0 kJ/mol of formula units
&SYSTEM
  ibrav = 0, nat = 4, ntyp = 3
/
ATOMIC_SPECIES
Re 186.21 Re.upf
Te 127.60 Te.upf
Hg 200.59 Hg.upf
CELL_PARAMETERS angstrom
3.340 -0.010 0.000
-0.068 4.580 0.000
-1.636 -2.285 5.332
ATOMIC_POSITIONS crystal
Re 0.000 0.000 0.000
Te 0.500 0.500 0.000
Hg 0.500 0.500 0.500
Hg 0.000 0.000 0.500

=====

! Co5Cu meta-GGA SCAN PBEsol geometry; values from VASP
! formation energy from the elements: 0.091 eV/atom
! VASP energy: -101.17 eV/cell
! volume: 63 Å³/cell
! ΔE to the lowest computed polymorph: 0.0 kJ/mol of formula units
&SYSTEM
  ibrav = 0, nat = 6, ntyp = 2
/
ATOMIC_SPECIES
Co 58.93 Co.upf
Cu 63.55 Cu.upf
CELL_PARAMETERS angstrom
-1.978 -1.424 -0.287
2.259 -3.246 0.538
-0.123 0.983 6.453
ATOMIC_POSITIONS crystal
Co 0.221 0.500 0.441
Co 0.001 0.000 0.002
Co 0.331 0.000 0.662
Co 0.666 0.000 0.332
Cu 0.889 0.500 0.779
Co 0.559 0.500 0.117

=====

! LaTaBe2 meta-GGA SCAN PBEsol geometry; values from VASP
! formation energy from the elements: 0.490 eV/atom
! VASP energy: -116.44 eV/cell
! volume: 65 Å³/cell
! ΔE to the lowest computed polymorph: 0.0 kJ/mol of formula units
&SYSTEM
  ibrav = 0, nat = 4, ntyp = 3
/
ATOMIC_SPECIES
Be 9.01 Be.upf
La 138.91 La.upf
Ta 180.95 Ta.upf
CELL_PARAMETERS angstrom
-1.606 -2.316 -0.675
3.845 -2.843 0.607
-2.136 0.225 4.315
ATOMIC_POSITIONS crystal
Be 0.000 0.500 0.000
Be 0.000 0.000 0.500
La 0.500 0.000 0.000
Ta 0.500 0.500 0.500

=====

> Among the records above, which one has the lowest VASP energy?

Ce2ZrS5